1.
{"formula": "Cd2Ir2O", "functional": "GGA-PBEsol", "state": "optimized geometry", "raw_formation_energy_ev_per_atom": 0.421, "vol_a3_per_cell": 87.5, "n_ef_per_ev_cell": 3.68, "mass_density_g_cm3": 11.87, "lattice": [[-2.722, 0.792, 1.967], [-2.031, -0.051, -2.789], [1.075, -7.524, 1.490]], "species": ["O", "Ir", "Cd", "Cd", "Ir"], "fractional_positions": [[0.000, 0.000, 0.000], [0.750, 0.250, 0.500], [0.591, 0.591, 0.182], [0.409, 0.409, 0.818], [0.250, 0.750, 0.500]]}


2.
{"formula": "CdP2IrO", "functional": "GGA-PBEsol", "state": "optimized geometry", "raw_formation_energy_ev_per_atom": 1.450, "vol_a3_per_cell": 87.9, "n_ef_per_ev_cell": 5.89, "mass_density_g_cm3": 7.23, "lattice": [[3.758, 0.000, 0.000], [0.000, 4.837, 0.000], [0.000, 0.000, 4.837]], "species": ["O", "P", "Cd", "P", "Ir"], "fractional_positions": [[0.500, 0.000, 0.000], [0.000, 0.500, 0.000], [0.000, 0.000, 0.000], [0.000, 0.000, 0.500], [0.500, 0.500, 0.500]]}


3.
{"formula": "Sr3CdIrO6", "functional": "GGA-PBEsol", "state": "optimized geometry", "raw_formation_energy_ev_per_atom": -2.021, "vol_a3_per_cell": 308.7, "n_ef_per_ev_cell": 11.40, "mass_density_g_cm3": 7.14, "lattice": [[-5.881, 0.166, -3.326], [-2.761, -4.060, 4.645], [-1.904, 5.391, 3.604]], "species": ["Sr", "Ir", "O", "O", "O", "O", "Sr", "O", "O", "Sr", "Cd", "O", "O", "O", "O", "Sr", "O", "Cd", "Sr", "O", "Sr", "Ir"], "fractional_positions": [[0.750, 0.388, 0.112], [0.500, 0.500, 0.500], [0.585, 0.448, 0.783], [0.948, 0.085, 0.283], [0.415, 0.552, 0.217], [0.915, 0.717, 0.052], [0.888, 0.250, 0.612], [0.052, 0.915, 0.717], [0.448, 0.783, 0.585], [0.388, 0.112, 0.750], [0.750, 0.750, 0.750], [0.217, 0.415, 0.552], [0.283, 0.948, 0.085], [0.717, 0.052, 0.915], [0.783, 0.585, 0.448], [0.612, 0.888, 0.250], [0.552, 0.217, 0.415], [0.250, 0.250, 0.250], [0.112, 0.750, 0.388], [0.085, 0.283, 0.948], [0.250, 0.612, 0.888], [0.000, 0.000, 0.000]]}


4.
{"formula": "Cd2IrOs", "functional": "GGA-PBEsol", "state": "optimized geometry", "e_above_lowest_polymorph_ev_per_atom": 0.000, "formation_energy_ev_per_atom": 0.248, "vol_a3_per_cell": 65.5, "n_ef_per_ev_cell": 2.50, "mass_density_g_cm3": 15.39, "lattice": [[2.813, 0.000, 0.000], [1.406, 2.436, 0.000], [1.406, 0.812, 9.560]], "species": ["Os", "Cd", "Ir", "Cd"], "fractional_positions": [[0.244, 0.244, 0.268], [0.995, 0.995, 0.016], [0.506, 0.506, 0.482], [0.756, 0.756, 0.733]]}


5.
{"formula": "Cd2IrOs", "functional": "GGA-PBEsol", "state": "optimized geometry", "e_above_lowest_polymorph_ev_per_atom": 0.254, "formation_energy_ev_per_atom": 0.502, "vol_a3_per_cell": 64.8, "n_ef_per_ev_cell": 3.27, "mass_density_g_cm3": 15.57, "lattice": [[-1.567, 2.190, -0.602], [-3.938, -2.936, 0.615], [2.606, 1.533, 4.594]], "species": ["Cd", "Ir", "Cd", "Os"], "fractional_positions": [[0.000, 0.000, 0.500], [0.500, 0.000, 0.000], [0.500, 0.500, 0.500], [0.000, 0.500, 0.000]]}


6.
{"formula": "Cd2PIr", "functional": "GGA-PBEsol", "state": "optimized geometry", "formation_energy_ev_per_atom": -0.068, "vol_a3_per_cell": 70.5, "n_ef_per_ev_cell": 1.45, "mass_density_g_cm3": 10.56, "lattice": [[-1.264, -2.550, 0.660], [1.308, -1.243, -2.298], [6.461, -1.976, 4.745]], "species": ["Cd", "P", "Cd", "Ir"], "fractional_positions": [[0.000, 0.000, 0.993], [0.500, 0.500, 0.690], [0.500, 0.500, 0.279], [0.000, 0.000, 0.538]]}


7.
{"formula": "Cd2PIr", "functional": "GGA-PBEsol", "state": "optimized geometry", "formation_energy_ev_per_atom": 0.407, "vol_a3_per_cell": 68.2, "n_ef_per_ev_cell": 1.77, "mass_density_g_cm3": 10.90, "lattice": [[3.136, 0.000, 0.000], [0.000, 4.664, 0.000], [0.000, 0.000, 4.664]], "species": ["P", "Ir", "Cd", "Cd"], "fractional_positions": [[0.500, 0.000, 0.000], [0.500, 0.500, 0.500], [0.000, 0.000, 0.500], [0.000, 0.500, 0.000]]}


8.
{"formula": "CdPIr", "functional": "GGA-PBEsol", "state": "optimized geometry", "formation_energy_ev_per_atom": -0.109, "vol_a3_per_cell": 49.3, "n_ef_per_ev_cell": 1.11, "mass_density_g_cm3": 11.29, "lattice": [[2.901, 0.000, 0.000], [0.000, 2.901, 0.000], [-1.451, -1.451, 5.863]], "species": ["Cd", "P", "Ir"], "fractional_positions": [[0.991, 0.991, 0.982], [0.700, 0.700, 0.400], [0.309, 0.309, 0.618]]}


9.
{"formula": "CdPIr3", "functional": "GGA-PBEsol", "state": "optimized geometry", "formation_energy_ev_per_atom": 0.413, "vol_a3_per_cell": 83.9, "n_ef_per_ev_cell": 1.45, "mass_density_g_cm3": 14.26, "lattice": [[-0.856, -3.611, -2.322], [-0.417, -2.287, 3.709], [-4.272, 0.947, 0.103]], "species": ["Cd", "Ir", "P", "Ir", "Ir"], "fractional_positions": [[0.500, 0.500, 0.500], [0.000, 0.000, 0.500], [0.000, 0.000, 0.000], [0.000, 0.500, 0.000], [0.500, 0.000, 0.000]]}


10.
{"formula": "CdPIr2", "functional": "GGA-PBEsol", "state": "optimized geometry", "formation_energy_ev_per_atom": -0.060, "vol_a3_per_cell": 64.3, "n_ef_per_ev_cell": 1.55, "mass_density_g_cm3": 13.63, "lattice": [[-1.617, 1.794, 1.619], [-1.915, -1.926, -2.388], [0.327, -4.400, 5.202]], "species": ["Ir", "Cd", "Ir", "P"], "fractional_positions": [[0.246, 0.493, 0.183], [0.000, 0.000, 0.500], [0.754, 0.507, 0.817], [0.500, 0.000, 0.000]]}


11.
{"formula": "ZnCdPIr2", "functional": "GGA-PBEsol", "state": "optimized geometry", "formation_energy_ev_per_atom": 1.412, "vol_a3_per_cell": 93.9, "n_ef_per_ev_cell": 3.58, "mass_density_g_cm3": 10.49, "lattice": [[-4.361, -0.645, -1.081], [0.050, -3.985, 2.174], [-1.263, 2.086, 3.852]], "species": ["Ir", "P", "Ir", "Zn", "Cd"], "fractional_positions": [[0.500, 0.000, 0.000], [0.500, 0.500, 0.500], [0.000, 0.500, 0.000], [0.000, 0.000, 0.000], [0.000, 0.000, 0.500]]}


12.
{"formula": "Cd2IrPb", "functional": "GGA-PBEsol", "state": "optimized geometry", "formation_energy_ev_per_atom": 0.353, "vol_a3_per_cell": 78.3, "n_ef_per_ev_cell": 2.09, "mass_density_g_cm3": 13.24, "lattice": [[-0.365, -3.201, 0.397], [1.979, 0.354, 4.676], [-5.055, 0.586, 0.074]], "species": ["Cd", "Ir", "Pb", "Cd"], "fractional_positions": [[0.000, 0.500, 0.000], [0.500, 0.000, 0.000], [0.500, 0.500, 0.500], [0.000, 0.000, 0.500]]}


13.
{"formula": "CdIrPb2", "functional": "GGA-PBEsol", "state": "optimized geometry", "formation_energy_ev_per_atom": 0.231, "vol_a3_per_cell": 92.1, "n_ef_per_ev_cell": 2.07, "mass_density_g_cm3": 12.97, "lattice": [[3.266, 0.000, 0.053], [0.000, 3.267, 0.000], [-0.164, 0.000, 8.626]], "species": ["Ir", "Pb", "Cd", "Pb"], "fractional_positions": [[0.500, 0.500, 0.500], [0.001, 0.000, 0.704], [0.500, 0.500, 0.000], [0.999, 0.000, 0.296]]}


14.
{"formula": "Cd2IrPb", "functional": "GGA-PBEsol", "state": "optimized geometry", "formation_energy_ev_per_atom": 0.253, "vol_a3_per_cell": 77.1, "n_ef_per_ev_cell": 1.35, "mass_density_g_cm3": 13.44, "lattice": [[-0.620, -4.024, -0.926], [3.598, -0.068, -2.114], [0.655, 0.867, 5.208]], "species": ["Cd", "Ir", "Pb", "Cd"], "fractional_positions": [[0.750, 0.750, 0.500], [0.000, 0.500, 0.000], [0.500, 0.000, 0.000], [0.250, 0.250, 0.500]]}


15.
{"formula": "CdIr2Pb", "functional": "GGA-PBEsol", "state": "optimized geometry", "formation_energy_ev_per_atom": 0.411, "vol_a3_per_cell": 68.8, "n_ef_per_ev_cell": 1.75, "mass_density_g_cm3": 16.99, "lattice": [[3.080, 0.000, 0.000], [0.000, 4.764, 0.008], [0.000, -0.842, 4.689]], "species": ["Ir", "Ir", "Cd", "Pb"], "fractional_positions": [[0.000, 0.000, 0.500], [0.000, 0.500, 0.000], [0.500, 0.500, 0.500], [0.500, 0.000, 0.000]]}


16.
{"formula": "Cd3IrPd", "functional": "GGA-PBEsol", "state": "optimized geometry", "formation_energy_ev_per_atom": 1.036, "vol_a3_per_cell": 115.9, "n_ef_per_ev_cell": 4.41, "mass_density_g_cm3": 9.11, "lattice": [[-1.328, -2.941, 3.654], [2.448, -3.674, -2.067], [4.001, 1.272, 2.478]], "species": ["Cd", "Cd", "Pd", "Ir", "Cd"], "fractional_positions": [[0.000, 0.500, 0.000], [0.000, 0.000, 0.500], [0.000, 0.000, 0.000], [0.500, 0.500, 0.500], [0.500, 0.000, 0.000]]}


17.
{"formula": "Cd2SnIrPd", "functional": "GGA-PBEsol", "state": "optimized geometry", "formation_energy_ev_per_atom": 0.866, "vol_a3_per_cell": 116.5, "n_ef_per_ev_cell": 4.21, "mass_density_g_cm3": 9.16, "lattice": [[-2.260, -2.245, -3.657], [-1.819, -3.290, 3.144], [-3.936, 2.837, 0.691]], "species": ["Pd", "Ir", "Cd", "Cd", "Sn"], "fractional_positions": [[0.000, 0.000, 0.000], [0.500, 0.500, 0.500], [0.000, 0.500, 0.000], [0.000, 0.000, 0.500], [0.500, 0.000, 0.000]]}


18.
{"formula": "ZnCdIrPd2", "functional": "GGA-PBEsol", "state": "optimized geometry", "formation_energy_ev_per_atom": 0.716, "vol_a3_per_cell": 92.2, "n_ef_per_ev_cell": 5.96, "mass_density_g_cm3": 10.50, "lattice": [[4.497, 0.000, 0.000], [0.000, 4.497, 0.000], [0.000, 0.000, 4.560]], "species": ["Zn", "Pd", "Ir", "Pd", "Cd"], "fractional_positions": [[0.000, 0.000, 0.000], [0.000, 0.500, 0.000], [0.000, 0.000, 0.500], [0.500, 0.000, 0.000], [0.500, 0.500, 0.500]]}


19.
{"formula": "CdIr2Pt", "functional": "GGA-PBEsol", "state": "optimized geometry", "formation_energy_ev_per_atom": 0.241, "vol_a3_per_cell": 61.7, "n_ef_per_ev_cell": 4.99, "mass_density_g_cm3": 18.62, "lattice": [[-0.396, 0.533, -2.683], [2.801, -2.542, -0.917], [-3.897, -4.201, -0.259]], "species": ["Pt", "Ir", "Cd", "Ir"], "fractional_positions": [[0.500, 0.500, 0.000], [0.000, 0.000, 0.233], [0.500, 0.500, 0.500], [0.000, 0.000, 0.767]]}


20.
{"formula": "CdIr2Pt", "functional": "GGA-PBEsol", "state": "optimized geometry", "formation_energy_ev_per_atom": 0.193, "vol_a3_per_cell": 61.7, "n_ef_per_ev_cell": 4.13, "mass_density_g_cm3": 18.63, "lattice": [[-2.546, -1.014, -0.483], [0.000, -1.196, 2.513], [-3.215, 6.579, 3.130]], "species": ["Ir", "Cd", "Pt", "Ir"], "fractional_positions": [[0.000, 0.000, 0.768], [0.500, 0.500, 0.500], [0.500, 0.500, 0.000], [0.000, 0.000, 0.232]]}